This record from Alexandria describes YMn2Rh2 after structural relaxation. The functional is PBE-GGA.

```
10
Lattice="7.369 0.000 0.000 0.000 7.369 0.000 0.000 0.000 2.774" Properties=species:S:1:pos:R:3 pbc="T T T"
Rh 5.009 6.045 1.387
Rh 6.045 2.360 1.387
Rh 1.324 5.009 1.387
Rh 2.360 1.324 1.387
Mn 0.798 2.887 0.000
Mn 2.887 6.571 0.000
Mn 6.571 4.482 0.000
Mn 4.482 0.798 0.000
Y 0.000 0.000 0.000
Y 3.684 3.684 0.000
```

Output
**E_form**: -0.013 eV/atom
**Energy relative to the lowest polymorph listed for this composition**: 236 meV/atom
**Energy**: -79.143 eV/cell
**Total magnetization**: 0.000 μB per atom